An optimized crystal structure of CaYTa2. Source: Alexandria via LeMat-Bulk, functional PBE-GGA.

abc: 6.000 6.000 2.966
angles: 90.00 90.00 120.12
Positions (direct):
Y1 0.500 0.000 0.500
Ca1 0.000 0.500 0.500
Ta1 0.000 0.000 0.000
Ta2 0.500 0.500 0.000

Calculated values
- Space-group type: No. 65
- E_form: 0.68 eV/atom
- Excess energy over the best structure of this formula in the dataset: 0.3979 eV per atom